(1)
Here is a geometry-optimized MnNiPd structure from Alexandria. Energies are from PBE-GGA.

Output
Total magnetization = 9.1 μB per cell
Calculated density = 8.96 g/cm3
E = -6.77 eV per atom
Formation enthalpy at 0 K = -51 meV per atom

Lattice parameters (Å, degrees): 4.639 4.640 4.667 100.02 100.17 119.91
Element x y z (fractional)
Mn 0.092 0.408 0.250
Mn 0.908 0.592 0.750
Ni 0.244 0.256 0.750
Ni 0.756 0.744 0.250
Pd 0.414 0.085 0.250
Pd 0.586 0.915 0.750

(2)
Here is a geometry-optimized MnPCSeN structure from Alexandria. Energies are from PBE-GGA.

Output
Total magnetization = 0.0 μB per cell
Calculated density = 3.65 g/cm3
E = -6.81 eV per atom
Formation energy from raw total energies = 0.31 eV per atom

Lattice parameters (Å, degrees): 2.752 5.157 6.251 101.80 90.60 90.01
Element x y z (fractional)
Mn 0.000 0.000 0.000
P 0.494 0.428 0.767
C 0.498 0.766 0.897
Se 0.506 0.035 0.312
N 0.997 0.285 0.858